# 1
Material: ThNiAu
Method: DFT, GGA-PBE
State: optimized geometry

Cell: 12.9146 3.8443 7.3848 Å, 90.00 90.00 90.00°
Element x y z (fractional)
Th 0.0522 0.0000 0.2387
Th 0.2500 0.0000 0.8314
Th 0.4478 0.0000 0.2387
Th 0.5522 0.0000 0.7613
Th 0.7500 0.0000 0.1686
Th 0.9478 0.0000 0.7613
Ni 0.0897 0.5000 0.9367
Ni 0.2500 0.0000 0.4384
Ni 0.4103 0.5000 0.9367
Ni 0.5897 0.5000 0.0633
Ni 0.7500 0.0000 0.5616
Ni 0.9103 0.5000 0.0633
Au 0.1172 0.5000 0.5690
Au 0.2500 0.5000 0.1844
Au 0.3828 0.5000 0.5690
Au 0.6172 0.5000 0.4310
Au 0.7500 0.5000 0.8156
Au 0.8828 0.5000 0.4310

Output
SG   Pmma, No. 51
Total DFT energy (no corrections)   -6.08 eV per atom

---

# 2
Material: ThNi6Au6
Method: DFT, GGA-PBE
State: optimized geometry

Cell: 6.8054 6.8054 6.8054 Å, 135.56 98.30 98.14°
Element x y z (fractional)
Th 0.0000 0.0000 0.0000
Ni 0.0000 0.0000 0.5000
Ni 0.0000 0.5000 0.0000
Ni 0.2345 0.7345 0.5000
Ni 0.5000 0.0000 0.0000
Ni 0.5000 0.5000 0.5000
Ni 0.7655 0.2655 0.5000
Au 0.1911 0.5000 0.6911
Au 0.3357 0.3357 0.0000
Au 0.3445 0.0000 0.3445
Au 0.6555 0.0000 0.6555
Au 0.6643 0.6643 0.0000
Au 0.8089 0.5000 0.3089

Output
SG   Immm, No. 71
Total DFT energy (no corrections)   -4.94 eV per atom

---

# 3
Material: ThNi4Au8
Method: DFT, GGA-PBE
State: optimized geometry

Cell: 6.9676 6.9676 6.9676 Å, 98.38 98.38 135.11°
Element x y z (fractional)
Th 0.0000 0.0000 0.0000
Ni 0.0000 0.0000 0.5000
Ni 0.0000 0.5000 0.0000
Ni 0.5000 0.0000 0.0000
Ni 0.5000 0.5000 0.5000
Au 0.0000 0.3363 0.3363
Au 0.0000 0.6637 0.6637
Au 0.2810 0.5000 0.7810
Au 0.3363 0.0000 0.3363
Au 0.5000 0.2810 0.7810
Au 0.5000 0.7190 0.2190
Au 0.6637 0.0000 0.6637
Au 0.7190 0.5000 0.2190

Output
SG   I4/mmm, No. 139
Total DFT energy (no corrections)   -4.58 eV per atom

---

# 4
Material: ThNi8Au3
Method: DFT, GGA-PBE
State: optimized geometry

Cell: 8.5570 8.5570 8.5570 Å, 33.48 33.48 33.48°
Element x y z (fractional)
Th 0.0000 0.0000 0.0000
Ni 0.1880 0.1880 0.1880
Ni 0.4363 0.4363 0.9345
Ni 0.4363 0.9345 0.4363
Ni 0.4422 0.9388 0.9388
Ni 0.6884 0.6884 0.6884
Ni 0.9345 0.4363 0.4363
Ni 0.9388 0.4422 0.9388
Ni 0.9388 0.9388 0.4422
Au 0.3844 0.3844 0.3844
Au 0.5034 0.5034 0.5034
Au 0.8721 0.8721 0.8721

Output
SG   R3m, No. 160
Total DFT energy (no corrections)   -5.42 eV per atom

---

# 5
Material: Th2Ni2Au
Method: DFT, GGA-PBE
State: optimized geometry

Cell: 7.4537 7.4537 3.7414 Å, 90.00 90.00 90.00°
Element x y z (fractional)
Th 0.1769 0.3231 0.0000
Th 0.3231 0.8231 0.0000
Th 0.6769 0.1769 0.0000
Th 0.8231 0.6769 0.0000
Ni 0.1219 0.6219 0.5000
Ni 0.3781 0.1219 0.5000
Ni 0.6219 0.8781 0.5000
Ni 0.8781 0.3781 0.5000
Au 0.0000 0.0000 0.5000
Au 0.5000 0.5000 0.5000

Output
SG   P4/mbm, No. 127
Total DFT energy (no corrections)   -6.53 eV per atom

---

# 6
Material: ThNiAu
Method: DFT, GGA-PBE
State: optimized geometry

Cell: 6.4570 6.4570 6.4570 Å, 90.00 90.00 90.00°
Element x y z (fractional)
Th 0.0000 0.0000 0.0000
Th 0.0000 0.5000 0.5000
Th 0.5000 0.0000 0.5000
Th 0.5000 0.5000 0.0000
Ni 0.2500 0.2500 0.2500
Ni 0.2500 0.7500 0.7500
Ni 0.7500 0.2500 0.7500
Ni 0.7500 0.7500 0.2500
Au 0.0000 0.0000 0.5000
Au 0.0000 0.5000 0.0000
Au 0.5000 0.0000 0.0000
Au 0.5000 0.5000 0.5000

Output
SG   F-43m, No. 216
Total DFT energy (no corrections)   -5.94 eV per atom

---

# 7
Material: ThNi9Au2
Method: DFT, GGA-PBE
State: optimized geometry

Cell: 8.2113 8.2113 4.8416 Å, 90.00 90.00 90.00°
Element x y z (fractional)
Th 0.0000 0.0000 0.0000
Th 0.5000 0.5000 0.0000
Ni 0.0000 0.5000 0.5000
Ni 0.0651 0.2086 0.5000
Ni 0.1773 0.6773 0.2475
Ni 0.1773 0.6773 0.7525
Ni 0.2086 0.9349 0.5000
Ni 0.2914 0.4349 0.5000
Ni 0.3227 0.1773 0.2475
Ni 0.3227 0.1773 0.7525
Ni 0.4349 0.7086 0.5000
Ni 0.5000 0.0000 0.5000
Ni 0.5651 0.2914 0.5000
Ni 0.6773 0.8227 0.2475
Ni 0.6773 0.8227 0.7525
Ni 0.7086 0.5651 0.5000
Ni 0.7914 0.0651 0.5000
Ni 0.8227 0.3227 0.2475
Ni 0.8227 0.3227 0.7525
Ni 0.9349 0.7914 0.5000
Au 0.1213 0.3787 0.0000
Au 0.3787 0.8787 0.0000
Au 0.6213 0.1213 0.0000
Au 0.8787 0.6213 0.0000

Output
SG   P4/mbm, No. 127
Total DFT energy (no corrections)   -5.70 eV per atom

---

# 8
Material: Th4Ni2Au
Method: DFT, GGA-PBE
State: optimized geometry

Cell: 7.1235 7.1235 3.6210 Å, 90.00 90.00 90.00°
Element x y z (fractional)
Th 0.2191 0.2191 0.2220
Th 0.2191 0.7809 0.7780
Th 0.7809 0.2191 0.7780
Th 0.7809 0.7809 0.2220
Ni 0.0000 0.5000 0.5000
Ni 0.5000 0.0000 0.5000
Au 0.5000 0.5000 0.0000

Output
SG   P-42m, No. 111
Total DFT energy (no corrections)   -6.45 eV per atom

---

# 9
Material: Th2Ni15Au2
Method: DFT, GGA-PBE
State: optimized geometry

Cell: 6.4180 6.4180 6.4180 Å, 82.81 82.81 82.81°
Element x y z (fractional)
Th 0.1531 0.1531 0.1531
Th 0.8469 0.8469 0.8469
Ni 0.0000 0.5000 0.5000
Ni 0.1519 0.1519 0.6619
Ni 0.1519 0.6619 0.1519
Ni 0.1974 0.5000 0.8026
Ni 0.1974 0.8026 0.5000
Ni 0.3381 0.8481 0.8481
Ni 0.5000 0.0000 0.5000
Ni 0.5000 0.1974 0.8026
Ni 0.5000 0.5000 0.0000
Ni 0.5000 0.8026 0.1974
Ni 0.6619 0.1519 0.1519
Ni 0.8026 0.1974 0.5000
Ni 0.8026 0.5000 0.1974
Ni 0.8481 0.3381 0.8481
Ni 0.8481 0.8481 0.3381
Au 0.3936 0.3936 0.3936
Au 0.6064 0.6064 0.6064

Output
SG   R-3m, No. 166
Total DFT energy (no corrections)   -5.92 eV per atom

---

# 10
Material: Th4NiAu3
Method: DFT, GGA-PBE
State: optimized geometry

Cell: 3.9008 4.5222 11.4987 Å, 90.00 90.00 90.00°
Element x y z (fractional)
Th 0.0000 0.0000 0.0000
Th 0.0000 0.5000 0.2794
Th 0.5000 0.0000 0.4792
Th 0.5000 0.5000 0.7882
Ni 0.5000 0.0000 0.2237
Au 0.0000 0.0000 0.7162
Au 0.0000 0.5000 0.5550
Au 0.5000 0.5000 0.0706

Output
SG   Pmm2, No. 25
Total DFT energy (no corrections)   -6.20 eV per atom

---

# 11
Material: Th3NiAu
Method: DFT, GGA-PBE
State: optimized geometry

Cell: 8.0057 8.0057 4.8831 Å, 90.00 90.00 120.00°
Element x y z (fractional)
Th 0.0000 0.5000 0.5000
Th 0.1262 0.8738 0.0000
Th 0.3152 0.3152 0.5000
Th 0.5000 0.0000 0.5000
Th 0.6848 0.6848 0.5000
Th 0.8738 0.1262 0.0000
Ni 0.0900 0.9100 0.5000
Ni 0.9100 0.0900 0.5000
Au 0.3557 0.6443 0.0000
Au 0.6443 0.3557 0.0000

Output
Relative energy among the computed polymorphs   0.203 eV per atom
SG   Cmmm, No. 65
Total DFT energy (no corrections)   -6.42 eV per atom

---

# 12
Material: Th4Ni2Au5
Method: DFT, GGA-PBE
State: optimized geometry

Cell: 7.3650 3.8052 9.0145 Å, 90.00 91.82 90.00°
Element x y z (fractional)
Th 0.2058 0.0000 0.3504
Th 0.2303 0.0000 0.9106
Th 0.7697 0.0000 0.0894
Th 0.7942 0.0000 0.6496
Ni 0.0645 0.5000 0.1316
Ni 0.9355 0.5000 0.8684
Au 0.1450 0.5000 0.6297
Au 0.4339 0.5000 0.1538
Au 0.5000 0.5000 0.5000
Au 0.5661 0.5000 0.8462
Au 0.8550 0.5000 0.3703

Output
SG   P2/m, No. 10
Total DFT energy (no corrections)   -5.87 eV per atom

---

Question: Among the records above, which one has the lowest total DFT energy (no corrections)?
Answer: Th2Ni2Au